Record 1
A crystal of K2HgP relaxed with PBEsol, computed with SCAN.

The formation energy is -172.5 meV per atom. As for the energy above the most stable polymorph in this dataset: 140.7 meV per atom. Its density of states at the Fermi level is 0.480 states/eV per atom. Its magnetic moment is 0.00 μB/f.u. As for the total energy: -1.76235 Ry/atom.

Cell: 3.348 5.290 6.022 Å, 90.00 90.09 90.00°
Positions (direct):
K (0.000, 0.000, 0.000)
K (0.001, 0.500, 0.638)
Hg (0.500, 0.000, 0.465)
P (0.501, 0.500, 0.164)

Record 2
A crystal of KHgP2 relaxed with PBEsol, computed with SCAN.

The formation energy is 535.3 meV per atom. Its density of states at the Fermi level is 0.443 states/eV per atom. Its magnetic moment is 0.00 μB/f.u. As for the total energy: -1.74836 Ry/atom.

Cell: 3.120 3.120 8.674 Å, 90.00 90.00 90.00°
Positions (direct):
K (0.000, 0.000, 0.000)
Hg (0.000, 0.000, 0.500)
P (0.500, 0.500, 0.282)
P (0.500, 0.500, 0.718)

Record 3
A crystal of K2HgP relaxed with PBEsol, computed with SCAN.

The formation energy is -313.3 meV per atom. As for the energy above the most stable polymorph in this dataset: 0.0 meV per atom. Its density of states at the Fermi level is 0.431 states/eV per atom. Its magnetic moment is 0.00 μB/f.u. As for the total energy: -1.77270 Ry/atom.

Cell: 6.151 6.151 6.151 Å, 139.19 128.00 68.13°
Positions (direct):
K (0.000, 0.000, 0.000)
K (0.691, 0.191, 0.500)
Hg (0.405, 0.405, 0.000)
P (0.272, 0.772, 0.500)

Record 4
A crystal of K2HgP relaxed with PBEsol, computed with SCAN.

The formation energy is 147.4 meV per atom. As for the energy above the most stable polymorph in this dataset: 460.7 meV per atom. Its density of states at the Fermi level is 0.263 states/eV per atom. Its magnetic moment is 0.00 μB/f.u. As for the total energy: -1.73884 Ry/atom.

Cell: 11.193 11.193 11.193 Å, 155.39 155.39 35.09°
Positions (direct):
K (0.114, 0.625, 0.989)
K (0.375, 0.364, 0.489)
K (0.636, 0.125, 0.011)
K (0.875, 0.886, 0.511)
Hg (0.250, 0.750, 0.500)
Hg (0.500, 0.500, 0.000)
P (0.000, 0.000, 0.000)
P (0.750, 0.250, 0.500)

Record 5
A crystal of KHgP2 relaxed with PBEsol, computed with SCAN.

The formation energy is 302.8 meV per atom. Its density of states at the Fermi level is 0.593 states/eV per atom. Its magnetic moment is 1.08 μB/f.u. As for the total energy: -1.76545 Ry/atom.

Cell: 7.479 7.479 7.479 Å, 30.96 30.96 30.96°
Positions (direct):
K (0.000, 0.000, 0.000)
Hg (0.500, 0.500, 0.500)
P (0.224, 0.224, 0.224)
P (0.776, 0.776, 0.776)

Record 6
A crystal of KHgP2 relaxed with PBEsol, computed with SCAN.

The formation energy is -218.3 meV per atom. Its density of states at the Fermi level is 0.290 states/eV per atom. Its magnetic moment is 0.00 μB/f.u. As for the total energy: -1.80376 Ry/atom.

Cell: 3.306 6.110 6.110 Å, 53.08 90.00 90.00°
Positions (direct):
K (0.000, 0.000, 0.000)
Hg (0.500, 0.705, 0.705)
P (0.000, 0.300, 0.300)
P (0.500, 0.428, 0.428)

Record 7
A crystal of KHgP2 relaxed with PBEsol, computed with SCAN.

The formation energy is -111.5 meV per atom. Its density of states at the Fermi level is 0.427 states/eV per atom. Its magnetic moment is 0.00 μB/f.u. As for the total energy: -1.79590 Ry/atom.

Cell: 3.289 5.871 5.987 Å, 90.00 91.60 90.00°
Positions (direct):
K (0.000, 0.000, 0.000)
Hg (0.500, 0.000, 0.500)
P (0.258, 0.500, 0.119)
P (0.742, 0.500, 0.881)

Record 8
A crystal of KHgP2S relaxed with PBEsol, computed with SCAN.

As for the energy above the most stable polymorph in this dataset: 0.0 meV per atom. The calculation puts the formation energy (no corrections) at 572.8 meV/atom. Its density of states at the Fermi level is 0.630 states/eV per atom. Its magnetic moment is 2.04 μB/f.u. As for the total energy: -1.52959 Ry/atom.

Cell: 5.004 5.004 5.248 Å, 90.00 90.00 90.00°
Positions (direct):
K (0.000, 0.000, 0.000)
Hg (0.500, 0.500, 0.500)
P (0.000, 0.500, 0.500)
P (0.500, 0.000, 0.500)
S (0.500, 0.500, 0.000)

Record 9
A crystal of KHgP2S relaxed with PBEsol, computed with SCAN.

As for the energy above the most stable polymorph in this dataset: 814.9 meV per atom. The calculation puts the formation energy (no corrections) at 1387.7 meV/atom. Its density of states at the Fermi level is 1.086 states/eV per atom. Its magnetic moment is 7.00 μB/f.u. As for the total energy: -1.46970 Ry/atom.

Cell: 6.385 6.385 5.852 Å, 90.00 90.00 90.00°
Positions (direct):
K (0.000, 0.000, 0.000)
Hg (0.500, 0.500, 0.500)
P (0.000, 0.500, 0.000)
P (0.500, 0.000, 0.000)
S (0.000, 0.000, 0.500)

Record 10
A crystal of KHgPb relaxed with PBEsol, computed with SCAN.

The formation energy is -322.2 meV per atom. Its density of states at the Fermi level is 0.205 states/eV per atom. Its magnetic moment is 0.00 μB/f.u. As for the total energy: -3.75437 Ry/atom.

Cell: 5.251 5.251 3.713 Å, 90.00 90.00 120.00°
Positions (direct):
K (0.000, 0.000, 0.000)
Hg (0.667, 0.333, 0.500)
Pb (0.333, 0.667, 0.500)

Record 11
A crystal of KHg4Pb relaxed with PBEsol, computed with SCAN.

The formation energy is -130.2 meV per atom. Its density of states at the Fermi level is 0.206 states/eV per atom. Its magnetic moment is 0.00 μB/f.u. As for the total energy: -4.37997 Ry/atom.

Cell: 6.044 6.044 6.044 Å, 60.00 60.00 60.00°
Positions (direct):
K (0.000, 0.000, 0.000)
Hg (0.375, 0.375, 0.375)
Hg (0.375, 0.375, 0.875)
Hg (0.375, 0.875, 0.375)
Hg (0.875, 0.375, 0.375)
Pb (0.750, 0.750, 0.750)

Record 12
A crystal of KHgPb3 relaxed with PBEsol, computed with SCAN.

The formation energy is 910.3 meV per atom. Its density of states at the Fermi level is 0.785 states/eV per atom. Its magnetic moment is 0.00 μB/f.u. As for the total energy: -4.39943 Ry/atom.

Cell: 5.878 5.878 5.878 Å, 90.00 90.00 90.00°
Positions (direct):
K (0.000, 0.000, 0.000)
Hg (0.500, 0.500, 0.500)
Pb (0.000, 0.000, 0.500)
Pb (0.000, 0.500, 0.000)
Pb (0.500, 0.000, 0.000)